# 1
Material: Pr5NiPb3
Method: DFT, PBE
State: relaxed

Cell: 9.5501 9.5501 7.0192 Å, 90.00 90.00 120.00°
Closest atoms and distances in Å follow each position.
Positions (direct):
Pr (0.2406, 0.2406, 0.7500)  2 Ni 2.89
Pr (0.7594, 0.0000, 0.7500)  2 Ni 2.89
Pr (0.6667, 0.3333, 0.0000)  6 Pb 3.41, 2 Pr 3.51
Pr (0.0000, 0.7594, 0.7500)  2 Ni 2.89
Pr (0.0000, 0.2406, 0.2500)  2 Ni 2.89
Pr (0.2406, 0.0000, 0.2500)  2 Ni 2.89
Pr (0.3333, 0.6667, 0.0000)  6 Pb 3.41, 2 Pr 3.51
Pr (0.7594, 0.7594, 0.2500)  2 Ni 2.89
Pr (0.3333, 0.6667, 0.5000)  6 Pb 3.41, 2 Pr 3.51
Pr (0.6667, 0.3333, 0.5000)  6 Pb 3.41, 2 Pr 3.51
Pb (0.6003, 0.6003, 0.7500)  7 Pr 3.33-3.44
Pb (0.0000, 0.3997, 0.7500)  7 Pr 3.33-3.44
Pb (0.3997, 0.3997, 0.2500)  7 Pr 3.33-3.44
Pb (0.3997, 0.0000, 0.7500)  7 Pr 3.33-3.44
Pb (0.6003, 0.0000, 0.2500)  7 Pr 3.33-3.44
Pb (0.0000, 0.6003, 0.2500)  7 Pr 3.33-3.44
Ni (0.0000, 0.0000, 0.5000)  6 Pr 2.89
Ni (0.0000, 0.0000, 0.0000)  6 Pr 2.89

Summary:
- Raw total energy: -5.013 eV per atom
- Space group: P6_3/mcm

=====

# 2
Material: Pr2NiPb6
Method: DFT, PBE
State: relaxed

Cell: 12.1221 12.1221 4.7056 Å, 90.00 90.00 158.26°
Closest atoms and distances in Å follow each position.
Positions (direct):
Pb (0.9326, 0.0674, 0.5000)  2 Ni 2.85
Pb (0.4317, 0.5683, 0.0000)  2 Ni 2.81
Pb (0.5683, 0.4317, 0.0000)  2 Ni 2.81
Pb (0.2039, 0.7961, 0.0000)  2 Pb 3.17, 4 Pr 3.34
Pb (0.7961, 0.2039, 0.0000)  2 Pb 3.17, 4 Pr 3.34
Pb (0.0674, 0.9326, 0.5000)  2 Ni 2.85
Pr (0.6786, 0.3214, 0.5000)  10 Pb 3.34-3.66
Pr (0.3214, 0.6786, 0.5000)  10 Pb 3.34-3.66
Ni (0.0000, 0.0000, 0.0000)  8 Pb 2.81-2.85

Summary:
- Raw total energy: -4.423 eV per atom
- Space group: Cmmm

=====

# 3
Material: PrNi2SbPb
Method: DFT, PBE
State: relaxed

Cell: 4.4558 4.4558 10.4185 Å, 90.00 90.00 90.00°
Closest atoms and distances in Å follow each position.
Positions (direct):
Ni (0.0000, 0.0000, 0.0000)  4 Sb 2.56
Ni (0.5000, 0.0000, 0.3585)  1 Sb 2.47, 4 Pb 2.67
Ni (0.0000, 0.5000, 0.6415)  1 Sb 2.47, 4 Pb 2.67
Ni (0.5000, 0.5000, 0.0000)  4 Sb 2.56
Sb (0.5000, 0.0000, 0.1213)  5 Ni 2.47-2.56
Sb (0.0000, 0.5000, 0.8787)  5 Ni 2.47-2.56
Pr (0.0000, 0.5000, 0.2317)  8 Ni 3.29-3.42, 5 Sb 3.35-3.68, 4 Pb 3.57
Pr (0.5000, 0.0000, 0.7683)  8 Ni 3.29-3.42, 5 Sb 3.35-3.68, 4 Pb 3.57
Pb (0.0000, 0.0000, 0.5000)  4 Ni 2.67
Pb (0.5000, 0.5000, 0.5000)  4 Ni 2.67

Summary:
- Raw total energy: -5.240 eV per atom
- Space group: P4/nmm

=====

# 4
Material: PrScNi2Pb
Method: DFT, PBE
State: relaxed

Cell: 3.6112 7.5319 7.5319 Å, 30.54 90.00 90.00°
Closest atoms and distances in Å follow each position.
Positions (direct):
Pr (0.5000, 0.3624, 0.3624)  6 Ni 2.89-3.03
Pb (0.0000, 0.0106, 0.0106)  1 Ni 2.68
Ni (0.0000, 0.7876, 0.7876)  2 Ni 2.40
Ni (0.0000, 0.1949, 0.1949)  2 Ni 2.40, 1 Pb 2.68
Sc (0.5000, 0.6445, 0.6445)  6 Ni 2.75-2.78

Summary:
- Raw total energy: -5.611 eV per atom
- Space group: Amm2

=====

# 5
Material: TbPrNi2Pb
Method: DFT, PBE
State: relaxed

Cell: 3.7500 7.5494 7.5494 Å, 31.09 90.00 90.00°
Closest atoms and distances in Å follow each position.
Positions (direct):
Ni (0.0000, 0.7941, 0.7941)  2 Ni 2.45
Ni (0.0000, 0.1988, 0.1988)  2 Ni 2.45
Pb (0.0000, 0.0044, 0.0044)  2 Ni 2.83-3.06
Pr (0.5000, 0.3625, 0.3625)  6 Ni 2.93-3.03
Tb (0.5000, 0.6402, 0.6402)  6 Ni 2.89-2.92

Summary:
- Raw total energy: -5.316 eV per atom
- Space group: Amm2

=====

# 6
Material: PrTmNi2Pb
Method: DFT, PBE
State: relaxed

Cell: 3.7090 7.5117 7.5117 Å, 30.85 90.00 90.00°
Closest atoms and distances in Å follow each position.
Positions (direct):
Pb (0.0000, 0.0067, 0.0067)  1 Ni 2.76
Ni (0.0000, 0.1970, 0.1970)  2 Ni 2.42
Ni (0.0000, 0.7916, 0.7916)  2 Ni 2.42
Tm (0.5000, 0.6418, 0.6418)  6 Ni 2.84-2.85
Pr (0.5000, 0.3628, 0.3628)  6 Ni 2.91-3.03

Summary:
- Raw total energy: -5.285 eV per atom
- Space group: Amm2

=====

> raw total energy of number 1 (Pr5NiPb3)?

-5.013 eV per atom

=====

> Which value of raw total energy does entry 4 give?

-5.611 eV per atom